Entry 1:
Computed, not measured: crystalline VBF5 at its relaxed geometry at the PBE with a Hubbard U level of DFT.

Computed properties:
Crystal system = monoclinic
E = -6.112 eV/atom

Cell and atoms, written as CIF:
```
data_VBF5
_chemical_formula_sum 'V4 B4 F20'
_symmetry_space_group_name_H-M 'C 1 2/c 1'
_symmetry_Int_Tables_number 15
_cell_length_a 7.279
_cell_length_b 7.994
_cell_length_c 7.609
_cell_angle_alpha 90.00
_cell_angle_beta 117.54
_cell_angle_gamma 90.00
loop_
_symmetry_equiv_pos_as_xyz
'x,y,z'
'-x,-y,-z'
'-x,y,-z+1/2'
'x,-y,z+1/2'
'x+1/2,y+1/2,z'
'-x+1/2,-y+1/2,-z'
'-x+1/2,y+1/2,-z+1/2'
'x+1/2,-y+1/2,z+1/2'
loop_
_atom_site_label
_atom_site_type_symbol
_atom_site_fract_x
_atom_site_fract_y
_atom_site_fract_z
V1 V 0.000 0.000 0.000
B1 B 0.000 0.351 0.250
F1 F 0.000 0.091 0.750
F2 F 0.061 0.249 0.133
F3 F 0.167 0.454 0.376
```

Entry 2:
Computed, not measured: crystalline VBF2 at its relaxed geometry at the PBE with a Hubbard U level of DFT.

Computed properties:
Crystal system = trigonal
Offset from the most stable computed form = 0 meV/atom

Cell and atoms, written as CIF:
```
data_VBF2
_chemical_formula_sum 'V3 B3 F6'
_symmetry_space_group_name_H-M 'R -3 m'
_symmetry_Int_Tables_number 166
_symmetry_space_group_name_Hall '-R 3 2"'
_cell_length_a 3.1623
_cell_length_b 3.1623
_cell_length_c 23.3329
_cell_angle_alpha 90.00
_cell_angle_beta 90.00
_cell_angle_gamma 120.00
loop_
_atom_site_label
_atom_site_type_symbol
_atom_site_fract_x
_atom_site_fract_y
_atom_site_fract_z
V1 V 0.0000 0.0000 0.0000
B1 B 0.0000 0.0000 0.5000
F1 F 0.0000 0.0000 0.3782
```

Entry 3:
Computed, not measured: crystalline VBF3 at its relaxed geometry at the PBE with a Hubbard U level of DFT.

Computed properties:
Crystal system = cubic
Offset from the most stable computed form = 0 meV/atom

Cell and atoms, written as CIF:
```
data_VBF3
_chemical_formula_sum 'V1 B1 F3'
_symmetry_space_group_name_H-M 'P m -3 m'
_symmetry_Int_Tables_number 221
_symmetry_space_group_name_Hall '-P 4 2 3'
_cell_length_a 4.089
_cell_length_b 4.089
_cell_length_c 4.089
_cell_angle_alpha 90.00
_cell_angle_beta 90.00
_cell_angle_gamma 90.00
loop_
_atom_site_label
_atom_site_type_symbol
_atom_site_fract_x
_atom_site_fract_y
_atom_site_fract_z
V1 V 0.000 0.000 0.000
B1 B 0.500 0.500 0.500
F1 F 0.000 0.000 0.500
```

Entry 4:
Computed, not measured: crystalline V3BF at its relaxed geometry at the PBE with a Hubbard U level of DFT.

Computed properties:
Crystal system = cubic
Offset from the most stable computed form = 0 meV/atom

Cell and atoms, written as CIF:
```
data_V3BF
_chemical_formula_sum 'V3 B1 F1'
_symmetry_space_group_name_H-M 'P m -3 m'
_symmetry_Int_Tables_number 221
_symmetry_space_group_name_Hall '-P 4 2 3'
_cell_length_a 4.361
_cell_length_b 4.361
_cell_length_c 4.361
_cell_angle_alpha 90.00
_cell_angle_beta 90.00
_cell_angle_gamma 90.00
loop_
_atom_site_label
_atom_site_type_symbol
_atom_site_fract_x
_atom_site_fract_y
_atom_site_fract_z
V1 V 0.000 0.000 0.500
B1 B 0.000 0.000 0.000
F1 F 0.500 0.500 0.500
```

Entry 5:
Computed, not measured: crystalline V2BF2 at its relaxed geometry at the PBE with a Hubbard U level of DFT.

Computed properties:
Crystal system = tetragonal
Offset from the most stable computed form = 0 meV/atom

Cell and atoms, written as CIF:
```
data_V2BF2
_chemical_formula_sum 'V4 B2 F4'
_symmetry_space_group_name_H-M 'I 4/m m m'
_symmetry_Int_Tables_number 139
_symmetry_space_group_name_Hall '-I 4 2'
_cell_length_a 4.353
_cell_length_b 4.353
_cell_length_c 6.532
_cell_angle_alpha 90.00
_cell_angle_beta 90.00
_cell_angle_gamma 90.00
loop_
_atom_site_label
_atom_site_type_symbol
_atom_site_fract_x
_atom_site_fract_y
_atom_site_fract_z
V1 V 0.000 0.500 0.250
B1 B 0.000 0.000 0.000
F1 F 0.000 0.000 0.311
```

Entry 6:
Computed, not measured: crystalline VBF3 at its relaxed geometry at the PBE with a Hubbard U level of DFT.

Computed properties:
Crystal system = cubic
Offset from the most stable computed form = 594 meV/atom

Cell and atoms, written as CIF:
```
data_VBF3
_chemical_formula_sum 'V1 B1 F3'
_symmetry_space_group_name_H-M 'P m -3 m'
_symmetry_Int_Tables_number 221
_symmetry_space_group_name_Hall '-P 4 2 3'
_cell_length_a 3.869
_cell_length_b 3.869
_cell_length_c 3.869
_cell_angle_alpha 90.00
_cell_angle_beta 90.00
_cell_angle_gamma 90.00
loop_
_atom_site_label
_atom_site_type_symbol
_atom_site_fract_x
_atom_site_fract_y
_atom_site_fract_z
V1 V 0.000 0.000 0.000
B1 B 0.500 0.500 0.500
F1 F 0.000 0.500 0.500
```